VASP calculation (PBE) on crystalline Pr2CdPd2 at its relaxed geometry.

## Properties
Space-group type: No. 127

Cell lengths 7.810, 7.810, 4.007 Å; angles 90.00, 90.00, 90.00 degrees
Fractional coordinates of all 10 atoms:
Pr: 0.174 0.326 0.500
Pr: 0.674 0.174 0.500
Pr: 0.826 0.674 0.500
Pr: 0.326 0.826 0.500
Pd: 0.127 0.627 0.000
Pd: 0.373 0.127 0.000
Pd: 0.627 0.873 0.000
Pd: 0.873 0.373 0.000
Cd: 0.000 0.000 0.000
Cd: 0.500 0.500 0.000


VASP calculation (PBE) on crystalline Pm5Re2Si5 at its relaxed geometry.

## Properties
Space-group type: No. 12

Cell lengths 4.344, 6.615, 10.103 Å; angles 97.37, 90.00, 109.17 degrees
Fractional coordinates of all 12 atoms:
Si: 0.099 0.198 0.323
Si: 0.901 0.802 0.677
Si: 0.345 0.690 0.219
Si: 0.000 0.000 0.000
Si: 0.655 0.310 0.781
Pm: 0.351 0.703 0.910
Pm: 0.649 0.297 0.090
Pm: 0.776 0.552 0.396
Pm: 0.224 0.448 0.604
Pm: 0.500 0.000 0.500
Re: 0.078 0.156 0.808
Re: 0.922 0.844 0.192


Table of uncorrected energy (eV per cell), in record order: -48.9, -80.9
Table of M_tot (μB/atom), in record order: 0.00, 0.00